Entry 1:
DFT (GGA+U) results for crystalline LiAcCr2O8 at its relaxed geometry.

```
data_LiAcCr2O8
_cell_length_a 5.0358
_cell_length_b 5.0358
_cell_length_c 21.2832
_cell_angle_alpha 90.00
_cell_angle_beta 90.00
_cell_angle_gamma 120.00
_symmetry_space_group_name_H-M 'R -3'
_symmetry_Int_Tables_number 148
_symmetry_space_group_name_Hall '-R 3'
loop_
_atom_site_label
_atom_site_type_symbol
_atom_site_fract_x
_atom_site_fract_y
_atom_site_fract_z
Li1 Li 0.0000 0.0000 0.0000
Ac1 Ac 0.0000 0.0000 0.5000
Cr1 Cr 0.0000 0.0000 0.2518
O1 O 0.0000 0.0000 0.1722
O2 O 0.0058 0.3594 0.9383
```

Values from the calculation:
Total moment, μB/f.u.: 0.00
E_tot, Ry/atom: -0.5051



Entry 2:
DFT (GGA+U) results for crystalline Li2Ac3CrO9 at its relaxed geometry.

```
data_Li2Ac3CrO9
_cell_length_a 5.5231
_cell_length_b 5.5231
_cell_length_c 6.8908
_cell_angle_alpha 90.00
_cell_angle_beta 90.00
_cell_angle_gamma 120.00
_symmetry_space_group_name_H-M 'P -3 m 1'
_symmetry_Int_Tables_number 164
_symmetry_space_group_name_Hall '-P 3 2"'
loop_
_atom_site_label
_atom_site_type_symbol
_atom_site_fract_x
_atom_site_fract_y
_atom_site_fract_z
Li1 Li 0.3333 0.6667 0.1769
Ac1 Ac 0.0000 0.0000 0.0000
Ac2 Ac 0.3333 0.6667 0.6969
Cr1 Cr 0.0000 0.0000 0.5000
O1 O 0.0000 0.5000 0.0000
O2 O 0.1570 0.3141 0.3453
```

Values from the calculation:
Total moment, μB/f.u.: 0.99
E_tot, Ry/atom: -0.5076



Entry 3:
DFT (GGA+U) results for crystalline Li2AcCrO5 at its relaxed geometry.

```
data_Li2AcCrO5
_cell_length_a 6.879
_cell_length_b 6.879
_cell_length_c 10.399
_cell_angle_alpha 90.00
_cell_angle_beta 90.00
_cell_angle_gamma 90.00
_symmetry_space_group_name_H-M 'I 4/m c m'
_symmetry_Int_Tables_number 140
_symmetry_space_group_name_Hall '-I 4 2c'
loop_
_atom_site_label
_atom_site_type_symbol
_atom_site_fract_x
_atom_site_fract_y
_atom_site_fract_z
Li1 Li 0.238 0.262 0.000
Ac1 Ac 0.000 0.000 0.250
Cr1 Cr 0.000 0.500 0.250
O1 O 0.000 0.000 0.000
O2 O 0.147 0.353 0.159
```

Values from the calculation:
Total moment, μB/f.u.: 1.00
E_tot, Ry/atom: -0.4815



Entry 4:
DFT (GGA+U) results for crystalline Li3Ac3CrO8 at its relaxed geometry.

```
data_Li3Ac3CrO8
_cell_length_a 10.707
_cell_length_b 7.193
_cell_length_c 6.366
_cell_angle_alpha 90.00
_cell_angle_beta 115.48
_cell_angle_gamma 90.00
_symmetry_space_group_name_H-M 'C 1 2/m 1'
_symmetry_Int_Tables_number 12
loop_
_symmetry_equiv_pos_as_xyz
'x,y,z'
'-x,-y,-z'
'-x,y,-z'
'x,-y,z'
'x+1/2,y+1/2,z'
'-x+1/2,-y+1/2,-z'
'-x+1/2,y+1/2,-z'
'x+1/2,-y+1/2,z'
loop_
_atom_site_label
_atom_site_type_symbol
_atom_site_fract_x
_atom_site_fract_y
_atom_site_fract_z
Li1 Li 0.000 0.000 0.000
Li2 Li 0.250 0.250 0.500
Ac1 Ac 0.000 0.500 0.500
Ac2 Ac 0.250 0.250 0.000
Cr1 Cr 0.000 0.000 0.500
O1 O 0.007 0.202 0.287
O2 O 0.215 0.000 0.698
O3 O 0.245 0.500 0.746
```

Values from the calculation:
Total moment, μB/f.u.: 1.99
E_tot, Ry/atom: -0.4902



Entry 5:
DFT (GGA+U) results for crystalline LiAcCrO5 at its relaxed geometry.

```
data_LiAcCrO5
_cell_length_a 8.995
_cell_length_b 8.840
_cell_length_c 8.618
_cell_angle_alpha 90.00
_cell_angle_beta 118.74
_cell_angle_gamma 90.00
_symmetry_space_group_name_H-M 'C 1 2/c 1'
_symmetry_Int_Tables_number 15
loop_
_symmetry_equiv_pos_as_xyz
'x,y,z'
'-x,-y,-z'
'-x,y,-z+1/2'
'x,-y,z+1/2'
'x+1/2,y+1/2,z'
'-x+1/2,-y+1/2,-z'
'-x+1/2,y+1/2,-z+1/2'
'x+1/2,-y+1/2,z+1/2'
loop_
_atom_site_label
_atom_site_type_symbol
_atom_site_fract_x
_atom_site_fract_y
_atom_site_fract_z
Li1 Li 0.000 0.185 0.250
Ac1 Ac 0.000 0.500 0.000
Cr1 Cr 0.000 0.113 0.750
O1 O 0.000 0.392 0.250
O2 O 0.004 0.221 0.910
O3 O 0.167 0.004 0.330
```

Values from the calculation:
Total moment, μB/f.u.: 0.04
E_tot, Ry/atom: -0.5040



Entry 6:
DFT (GGA+U) results for crystalline LiAc2CrO6 at its relaxed geometry.

```
data_LiAc2CrO6
_cell_length_a 5.562
_cell_length_b 5.562
_cell_length_c 4.099
_cell_angle_alpha 90.00
_cell_angle_beta 90.00
_cell_angle_gamma 90.00
_symmetry_space_group_name_H-M 'P 4 m m'
_symmetry_Int_Tables_number 99
loop_
_symmetry_equiv_pos_as_xyz
'x,y,z'
'-y,x,z'
'-x,-y,z'
'y,-x,z'
'-x,y,z'
'y,x,z'
'x,-y,z'
'-y,-x,z'
loop_
_atom_site_label
_atom_site_type_symbol
_atom_site_fract_x
_atom_site_fract_y
_atom_site_fract_z
Li1 Li 0.000 0.000 0.000
Ac1 Ac 0.000 0.500 0.459
Cr1 Cr 0.500 0.500 0.946
O1 O 0.000 0.000 0.512
O2 O 0.269 0.269 0.029
O3 O 0.500 0.500 0.523
```

Values from the calculation:
Total moment, μB/f.u.: 0.94
E_tot, Ry/atom: -0.5287



Entry 7:
DFT (GGA+U) results for crystalline LiAc2CrO5 at its relaxed geometry.

```
data_LiAc2CrO5
_cell_length_a 7.156
_cell_length_b 7.156
_cell_length_c 5.870
_cell_angle_alpha 90.00
_cell_angle_beta 90.00
_cell_angle_gamma 90.00
_symmetry_space_group_name_H-M 'P 4/m b m'
_symmetry_Int_Tables_number 127
_symmetry_space_group_name_Hall '-P 4 2ab'
loop_
_atom_site_label
_atom_site_type_symbol
_atom_site_fract_x
_atom_site_fract_y
_atom_site_fract_z
Li1 Li 0.000 0.000 0.000
Ac1 Ac 0.181 0.319 0.500
Cr1 Cr 0.000 0.500 0.000
O1 O 0.000 0.000 0.500
O2 O 0.130 0.630 0.236
```

Values from the calculation:
Total moment, μB/f.u.: 2.99
E_tot, Ry/atom: -0.5225



Entry 8:
DFT (GGA+U) results for crystalline Li2Ac3CrO8 at its relaxed geometry.

```
data_Li2Ac3CrO8
_cell_length_a 5.5564
_cell_length_b 5.5564
_cell_length_c 7.0671
_cell_angle_alpha 90.00
_cell_angle_beta 90.00
_cell_angle_gamma 120.00
_symmetry_space_group_name_H-M 'P -3 m 1'
_symmetry_Int_Tables_number 164
_symmetry_space_group_name_Hall '-P 3 2"'
loop_
_atom_site_label
_atom_site_type_symbol
_atom_site_fract_x
_atom_site_fract_y
_atom_site_fract_z
Li1 Li 0.3333 0.6667 0.2071
Ac1 Ac 0.0000 0.0000 0.0000
Ac2 Ac 0.3333 0.6667 0.6398
Cr1 Cr 0.0000 0.0000 0.5000
O1 O 0.1583 0.3167 0.3346
O2 O 0.3333 0.6667 0.9535
```

Values from the calculation:
Total moment, μB/f.u.: 0.92
E_tot, Ry/atom: -0.5135